Compound: Ho5ThSb4
Source: Alexandria via LeMat-Bulk
Functional: PBE
Structure: optimized geometry

Lattice parameters (Å, degrees): 18.694 4.337 8.457 90.00 106.25 90.00
Space group C2/m (No. 12)
Asymmetric unit:
Ho 0.000 0.000 0.000
Ho 0.159 0.500 0.319
Ho 0.182 0.500 0.848
Th 0.000 0.000 0.500
Sb 0.013 0.500 0.770
Sb 0.174 0.000 0.587

Raw formation energy = -6.543 eV/f.u.
Uncorrected energy = -5.3341 eV per atom
Volume = 658.30 Å³ per cell

Compound: HoTh5Sb4
Source: Alexandria via LeMat-Bulk
Functional: PBE
Structure: optimized geometry

Lattice parameters (Å, degrees): 18.613 4.230 8.724 90.00 101.80 90.00
Space group C2/m (No. 12)
Asymmetric unit:
Ho 0.000 0.000 0.000
Th 0.000 0.000 0.500
Th 0.165 0.500 0.797
Th 0.184 0.500 0.355
Sb 0.009 0.500 0.245
Sb 0.165 0.000 0.070

Raw formation energy = -4.917 eV/f.u.
Uncorrected energy = -6.3084 eV per atom
Volume = 672.39 Å³ per cell